Entry from the Alexandria database: a relaxed structure of PaZn17Hg (GGA-PBE).

Values from the calculation:
Size of the total moment = 0.9 μB per formula unit
Calculated total energy = -1.68 eV per atom
ΔH_f (0 K) = -0.02 eV per atom

Cell: 6.841 6.841 6.841 Å, 82.38 82.38 82.38°
Fractional positions:
Pa (0.000, 0.000, 0.000)
Zn (0.027, 0.342, 0.635)
Zn (0.027, 0.635, 0.342)
Zn (0.194, 0.687, 0.687)
Zn (0.238, 0.238, 0.238)
Zn (0.324, 0.324, 0.838)
Zn (0.324, 0.838, 0.324)
Zn (0.342, 0.027, 0.635)
Zn (0.342, 0.635, 0.027)
Zn (0.437, 0.437, 0.437)
Zn (0.491, 0.991, 0.991)
Zn (0.635, 0.027, 0.342)
Zn (0.635, 0.342, 0.027)
Zn (0.687, 0.194, 0.687)
Zn (0.687, 0.687, 0.194)
Zn (0.838, 0.324, 0.324)
Zn (0.991, 0.491, 0.991)
Zn (0.991, 0.991, 0.491)
Hg (0.740, 0.740, 0.740)